No. 1
# ThAgGe, relaxed, DFT PBE-GGA
data_ThAgGe
_chemical_formula_sum 'Th6 Ag6 Ge6'
_symmetry_space_group_name_H-M 'P 1 21/m 1'
_symmetry_Int_Tables_number 11
_cell_length_a 7.295
_cell_length_b 4.420
_cell_length_c 12.678
_cell_angle_alpha 90.00
_cell_angle_beta 90.94
_cell_angle_gamma 90.00
loop_
_symmetry_equiv_pos_as_xyz
'x,y,z'
'-x,-y,-z'
'-x,y+1/2,-z'
'x,-y+1/2,z'
loop_
_atom_site_label
_atom_site_type_symbol
_atom_site_fract_x
_atom_site_fract_y
_atom_site_fract_z
Th1 Th 0.020 0.250 0.125
Th2 Th 0.163 0.250 0.421
Th3 Th 0.479 0.750 0.802
Ag1 Ag 0.136 0.250 0.695
Ag2 Ag 0.336 0.750 0.045
Ag3 Ag 0.497 0.750 0.407
Ge1 Ge 0.229 0.750 0.254
Ge2 Ge 0.264 0.750 0.591
Ge3 Ge 0.268 0.250 0.922
# ΔH_f (0 K)   -464 meV per atom
# V   408.7 Å³/cell
# Total energy   -5.426 eV/atom



No. 2
# ThAgGe, relaxed, DFT PBE-GGA
data_ThAgGe
_chemical_formula_sum 'Th1 Ag1 Ge1'
_symmetry_space_group_name_H-M 'P 3 m 1'
_symmetry_Int_Tables_number 156
_cell_length_a 4.4364
_cell_length_b 4.4364
_cell_length_c 4.0940
_cell_angle_alpha 90.00
_cell_angle_beta 90.00
_cell_angle_gamma 120.00
loop_
_symmetry_equiv_pos_as_xyz
'x,y,z'
'-y,x-y,z'
'-x+y,-x,z'
'-y,-x,z'
'-x+y,y,z'
'x,x-y,z'
loop_
_atom_site_label
_atom_site_type_symbol
_atom_site_fract_x
_atom_site_fract_y
_atom_site_fract_z
Th1 Th 0.0000 0.0000 0.0000
Ag1 Ag 0.3333 0.6667 0.5043
Ge1 Ge 0.6667 0.3333 0.4952
# ΔH_f (0 K)   -450 meV per atom
# V   69.8 Å³/cell
# Total energy   -5.413 eV/atom



No. 3
# Th2AgGe2, relaxed, DFT PBE-GGA
data_Th2AgGe2
_chemical_formula_sum 'Th4 Ag2 Ge4'
_symmetry_space_group_name_H-M 'P 4/m b m'
_symmetry_Int_Tables_number 127
_symmetry_space_group_name_Hall '-P 4 2ab'
_cell_length_a 7.456
_cell_length_b 7.456
_cell_length_c 4.337
_cell_angle_alpha 90.00
_cell_angle_beta 90.00
_cell_angle_gamma 90.00
loop_
_atom_site_label
_atom_site_type_symbol
_atom_site_fract_x
_atom_site_fract_y
_atom_site_fract_z
Th1 Th 0.180 0.320 0.000
Ag1 Ag 0.000 0.000 0.500
Ge1 Ge 0.122 0.622 0.500
# ΔH_f (0 K)   -583 meV per atom
# V   241.1 Å³/cell
# Total energy   -5.968 eV/atom
# Energy above the lowest structure with this stoichiometry   0.000 eV/atom



No. 4
# Th2AgGe2, relaxed, DFT PBE-GGA
data_Th2AgGe2
_chemical_formula_sum 'Th8 Ag4 Ge8'
_symmetry_space_group_name_H-M 'C 1 2/m 1'
_symmetry_Int_Tables_number 12
_cell_length_a 11.316
_cell_length_b 4.401
_cell_length_c 10.706
_cell_angle_alpha 90.00
_cell_angle_beta 116.96
_cell_angle_gamma 90.00
loop_
_symmetry_equiv_pos_as_xyz
'x,y,z'
'-x,-y,-z'
'-x,y,-z'
'x,-y,z'
'x+1/2,y+1/2,z'
'-x+1/2,-y+1/2,-z'
'-x+1/2,y+1/2,-z'
'x+1/2,-y+1/2,z'
loop_
_atom_site_label
_atom_site_type_symbol
_atom_site_fract_x
_atom_site_fract_y
_atom_site_fract_z
Th1 Th 0.003 0.000 0.325
Th2 Th 0.190 0.000 0.104
Ag1 Ag 0.219 0.500 0.351
Ge1 Ge 0.030 0.500 0.890
Ge2 Ge 0.134 0.500 0.567
# ΔH_f (0 K)   -564 meV per atom
# V   475.3 Å³/cell
# Total energy   -5.949 eV/atom
# Energy above the lowest structure with this stoichiometry   0.019 eV/atom



No. 5
# ThAgGe, relaxed, DFT PBE-GGA
data_ThAgGe
_chemical_formula_sum 'Th2 Ag2 Ge2'
_symmetry_space_group_name_H-M 'P 4/n m m'
_symmetry_Int_Tables_number 129
_cell_length_a 4.322
_cell_length_b 4.322
_cell_length_c 7.377
_cell_angle_alpha 90.00
_cell_angle_beta 90.00
_cell_angle_gamma 90.00
loop_
_symmetry_equiv_pos_as_xyz
'x,y,z'
'-x,-y,-z'
'-y+1/2,x,z'
'y+1/2,-x,-z'
'-x+1/2,-y+1/2,z'
'x+1/2,y+1/2,-z'
'y,-x+1/2,z'
'-y,x+1/2,-z'
'x+1/2,-y,-z'
'-x+1/2,y,z'
'-y,-x,-z'
'y,x,z'
'-x,y+1/2,-z'
'x,-y+1/2,z'
'y+1/2,x+1/2,-z'
'-y+1/2,-x+1/2,z'
loop_
_atom_site_label
_atom_site_type_symbol
_atom_site_fract_x
_atom_site_fract_y
_atom_site_fract_z
Th1 Th 0.250 0.250 0.164
Ag1 Ag 0.250 0.750 0.500
Ge1 Ge 0.250 0.250 0.750
# ΔH_f (0 K)   -478 meV per atom
# V   137.8 Å³/cell
# Total energy   -5.440 eV/atom



No. 6
# Th3Ag2Ge4, relaxed, DFT PBE-GGA
data_Th3Ag2Ge4
_chemical_formula_sum 'Th6 Ag4 Ge8'
_symmetry_space_group_name_H-M 'C 1 2/m 1'
_symmetry_Int_Tables_number 12
_cell_length_a 11.163
_cell_length_b 4.424
_cell_length_c 8.576
_cell_angle_alpha 90.00
_cell_angle_beta 103.68
_cell_angle_gamma 90.00
loop_
_symmetry_equiv_pos_as_xyz
'x,y,z'
'-x,-y,-z'
'-x,y,-z'
'x,-y,z'
'x+1/2,y+1/2,z'
'-x+1/2,-y+1/2,-z'
'-x+1/2,y+1/2,-z'
'x+1/2,-y+1/2,z'
loop_
_atom_site_label
_atom_site_type_symbol
_atom_site_fract_x
_atom_site_fract_y
_atom_site_fract_z
Th1 Th 0.000 0.000 0.000
Th2 Th 0.163 0.500 0.674
Ag1 Ag 0.112 0.500 0.279
Ge1 Ge 0.066 0.000 0.399
Ge2 Ge 0.221 0.500 0.052
# ΔH_f (0 K)   -528 meV per atom
# V   411.6 Å³/cell
# Total energy   -5.687 eV/atom